No. 1
# Ba3Er4O9, single point on PBEsol structure, DFT SCAN
# calculated density	7.77	Mg/m³
# DOS(E_F)	0.00	states/eV/f.u.
# total energy	-27.04	eV/atom
# formation energy without anion corrections	-3.5348	eV per atom
data_Ba3Er4O9
_chemical_formula_sum 'Ba3 Er4 O9'
_cell_length_a 6.018
_cell_length_b 6.018
_cell_length_c 9.038
_cell_angle_alpha 70.55
_cell_angle_beta 70.55
_cell_angle_gamma 60.00
_symmetry_space_group_name_H-M 'P 1'
_symmetry_Int_Tables_number 1
loop_
_symmetry_equiv_pos_as_xyz
'x,y,z'
loop_
_atom_site_label
_atom_site_type_symbol
_atom_site_fract_x
_atom_site_fract_y
_atom_site_fract_z
Ba1 Ba 0.421 0.421 0.736
Ba2 Ba 0.000 0.000 0.001
Ba3 Ba 0.835 0.835 0.495
O1 O 0.536 0.958 0.082
O2 O 0.872 0.307 0.419
O3 O 0.402 0.872 0.419
O4 O 0.861 0.418 0.748
O5 O 0.418 0.972 0.748
O6 O 0.972 0.861 0.748
O7 O 0.423 0.536 0.082
O8 O 0.958 0.423 0.082
O9 O 0.307 0.402 0.419
Er1 Er 0.135 0.135 0.595
Er2 Er 0.699 0.699 0.903
Er3 Er 0.260 0.260 0.220
Er4 Er 0.574 0.574 0.277



No. 2
# KCoAu2, single point on PBEsol structure, DFT SCAN
# E above lowest polymorph	0.432	eV/atom
# calculated density	11.12	Mg/m³
# DOS(E_F)	4.10	states/eV/f.u.
# total energy	-40.48	eV/atom
data_KCoAu2
_chemical_formula_sum 'K1 Co1 Au2'
_cell_length_a 4.105
_cell_length_b 4.105
_cell_length_c 5.237
_cell_angle_alpha 113.08
_cell_angle_beta 113.08
_cell_angle_gamma 90.00
_symmetry_space_group_name_H-M 'P 1'
_symmetry_Int_Tables_number 1
loop_
_symmetry_equiv_pos_as_xyz
'x,y,z'
loop_
_atom_site_label
_atom_site_type_symbol
_atom_site_fract_x
_atom_site_fract_y
_atom_site_fract_z
K1 K 0.250 0.750 0.500
Au1 Au 0.750 0.250 0.500
Au2 Au 0.000 0.000 0.000
Co1 Co 0.500 0.500 0.000



No. 3
# SiBBr3, single point on PBEsol structure, DFT SCAN
# calculated density	3.52	Mg/m³
# DOS(E_F)	2.12	states/eV/f.u.
# total energy	-14.38	eV/atom
# formation energy without anion corrections	0.7875	eV per atom
data_SiBBr3
_chemical_formula_sum 'Si1 B1 Br3'
_cell_length_a 5.084
_cell_length_b 5.084
_cell_length_c 5.084
_cell_angle_alpha 90.00
_cell_angle_beta 90.00
_cell_angle_gamma 90.00
_symmetry_space_group_name_H-M 'P 1'
_symmetry_Int_Tables_number 1
loop_
_symmetry_equiv_pos_as_xyz
'x,y,z'
loop_
_atom_site_label
_atom_site_type_symbol
_atom_site_fract_x
_atom_site_fract_y
_atom_site_fract_z
Br1 Br 0.500 0.000 0.000
Br2 Br 0.000 0.000 0.500
Br3 Br 0.000 0.500 0.000
Si1 Si 0.000 0.000 0.000
B1 B 0.500 0.500 0.500



No. 4
# Te3As2, single point on PBEsol structure, DFT SCAN
# E above lowest polymorph	0.000	eV/atom
# calculated density	6.42	Mg/m³
# total energy	-30.43	eV/atom
# formation energy without anion corrections	0.0016	eV per atom
data_Te3As2
_chemical_formula_sum 'Te6 As4'
_cell_length_a 4.028
_cell_length_b 7.346
_cell_length_c 9.737
_cell_angle_alpha 95.98
_cell_angle_beta 90.00
_cell_angle_gamma 105.91
_symmetry_space_group_name_H-M 'P 1'
_symmetry_Int_Tables_number 1
loop_
_symmetry_equiv_pos_as_xyz
'x,y,z'
loop_
_atom_site_label
_atom_site_type_symbol
_atom_site_fract_x
_atom_site_fract_y
_atom_site_fract_z
As1 As 0.200 0.401 0.142
As2 As 0.385 0.770 0.552
As3 As 0.615 0.230 0.448
As4 As 0.800 0.599 0.858
Te1 Te 0.029 0.058 0.285
Te2 Te 0.623 0.246 0.961
Te3 Te 0.782 0.564 0.341
Te4 Te 0.377 0.754 0.039
Te5 Te 0.218 0.436 0.659
Te6 Te 0.971 0.942 0.715



No. 5
# Be4Co3, single point on PBEsol structure, DFT SCAN
# calculated density	5.93	Mg/m³
# DOS(E_F)	2.35	states/eV/f.u.
# total energy	-10.10	eV/atom
data_Be4Co3
_chemical_formula_sum 'Be4 Co3'
_cell_length_a 2.579
_cell_length_b 2.579
_cell_length_c 9.141
_cell_angle_alpha 98.10
_cell_angle_beta 98.10
_cell_angle_gamma 90.01
_symmetry_space_group_name_H-M 'P 1'
_symmetry_Int_Tables_number 1
loop_
_symmetry_equiv_pos_as_xyz
'x,y,z'
loop_
_atom_site_label
_atom_site_type_symbol
_atom_site_fract_x
_atom_site_fract_y
_atom_site_fract_z
Be1 Be 0.865 0.865 0.729
Be2 Be 0.566 0.566 0.134
Be3 Be 0.434 0.434 0.866
Be4 Be 0.135 0.135 0.271
Co1 Co 0.292 0.292 0.584
Co2 Co 0.000 0.000 0.000
Co3 Co 0.708 0.708 0.416



No. 6
# NaPr9Ge6O26, single point on PBEsol structure, DFT SCAN
# calculated density	6.04	Mg/m³
# DOS(E_F)	0.00	states/eV/f.u.
# total energy	-18.90	eV/atom
# formation energy without anion corrections	-2.9341	eV per atom
data_NaPr9Ge6O26
_chemical_formula_sum 'Na1 Pr9 Ge6 O26'
_cell_length_a 7.185
_cell_length_b 9.730
_cell_length_c 9.730
_cell_angle_alpha 120.00
_cell_angle_beta 90.00
_cell_angle_gamma 90.00
_symmetry_space_group_name_H-M 'P 1'
_symmetry_Int_Tables_number 1
loop_
_symmetry_equiv_pos_as_xyz
'x,y,z'
loop_
_atom_site_label
_atom_site_type_symbol
_atom_site_fract_x
_atom_site_fract_y
_atom_site_fract_z
O1 O 0.947 0.918 0.691
O2 O 0.750 0.161 0.653
O3 O 0.054 0.422 0.983
O4 O 0.249 0.275 0.464
O5 O 0.249 0.190 0.725
O6 O 0.947 0.309 0.227
O7 O 0.247 0.187 0.034
O8 O 0.571 0.366 0.262
O9 O 0.443 0.561 0.581
O10 O 0.571 0.896 0.634
O11 O 0.750 0.347 0.508
O12 O 0.443 0.419 0.981
O13 O 0.443 0.019 0.439
O14 O 0.256 0.667 0.333
O15 O 0.947 0.773 0.082
O16 O 0.054 0.561 0.578
O17 O 0.247 0.847 0.813
O18 O 0.054 0.017 0.439
O19 O 0.249 0.536 0.810
O20 O 0.787 0.667 0.333
O21 O 0.741 0.147 0.945
O22 O 0.247 0.966 0.153
O23 O 0.741 0.055 0.202
O24 O 0.571 0.738 0.104
O25 O 0.750 0.492 0.839
O26 O 0.741 0.798 0.853
Pr1 Pr 0.746 0.652 0.560
Pr2 Pr 0.249 0.676 0.100
Pr3 Pr 0.249 0.424 0.324
Pr4 Pr 0.000 0.333 0.667
Pr5 Pr 0.746 0.440 0.093
Pr6 Pr 0.499 0.333 0.667
Pr7 Pr 0.994 0.000 0.000
Pr8 Pr 0.249 0.900 0.576
Pr9 Pr 0.746 0.907 0.348
Ge1 Ge 0.745 0.262 0.300
Ge2 Ge 0.745 0.038 0.738
Ge3 Ge 0.248 0.642 0.707
Ge4 Ge 0.248 0.065 0.358
Ge5 Ge 0.745 0.700 0.962
Ge6 Ge 0.248 0.293 0.935
Na1 Na 0.490 0.000 0.000



No. 7
# NiAgSe2N, single point on PBEsol structure, DFT SCAN
# calculated density	5.85	Mg/m³
# DOS(E_F)	3.84	states/eV/f.u.
# total energy	-18.01	eV/atom
# formation energy without anion corrections	1.3922	eV per atom
data_NiAgSe2N
_chemical_formula_sum 'Ni1 Ag1 Se2 N1'
_cell_length_a 3.798
_cell_length_b 5.030
_cell_length_c 5.030
_cell_angle_alpha 90.00
_cell_angle_beta 90.00
_cell_angle_gamma 90.00
_symmetry_space_group_name_H-M 'P 1'
_symmetry_Int_Tables_number 1
loop_
_symmetry_equiv_pos_as_xyz
'x,y,z'
loop_
_atom_site_label
_atom_site_type_symbol
_atom_site_fract_x
_atom_site_fract_y
_atom_site_fract_z
Se1 Se 0.000 0.000 0.500
Se2 Se 0.000 0.500 0.000
Ag1 Ag 0.000 0.000 0.000
Ni1 Ni 0.500 0.500 0.500
N1 N 0.500 0.000 0.000



No. 8
# Dy2Ru2O7, single point on PBEsol structure, DFT SCAN
# calculated density	8.34	Mg/m³
# DOS(E_F)	2.99	states/eV/f.u.
# total energy	-21.46	eV/atom
# formation energy without anion corrections	-2.4743	eV per atom
data_Dy2Ru2O7
_chemical_formula_sum 'Dy4 Ru4 O14'
_cell_length_a 7.115
_cell_length_b 7.115
_cell_length_c 7.115
_cell_angle_alpha 60.00
_cell_angle_beta 60.00
_cell_angle_gamma 60.00
_symmetry_space_group_name_H-M 'P 1'
_symmetry_Int_Tables_number 1
loop_
_symmetry_equiv_pos_as_xyz
'x,y,z'
loop_
_atom_site_label
_atom_site_type_symbol
_atom_site_fract_x
_atom_site_fract_y
_atom_site_fract_z
O1 O 0.210 0.790 0.210
O2 O 0.040 0.460 0.040
O3 O 0.040 0.040 0.460
O4 O 0.460 0.040 0.040
O5 O 0.790 0.210 0.210
O6 O 0.500 0.500 0.500
O7 O 0.790 0.210 0.790
O8 O 0.460 0.040 0.460
O9 O 0.040 0.460 0.460
O10 O 0.790 0.790 0.210
O11 O 0.750 0.750 0.750
O12 O 0.210 0.790 0.790
O13 O 0.460 0.460 0.040
O14 O 0.210 0.210 0.790
Ru1 Ru 0.125 0.625 0.125
Ru2 Ru 0.125 0.125 0.125
Ru3 Ru 0.625 0.125 0.125
Ru4 Ru 0.125 0.125 0.625
Dy1 Dy 0.625 0.625 0.625
Dy2 Dy 0.125 0.625 0.625
Dy3 Dy 0.625 0.625 0.125
Dy4 Dy 0.625 0.125 0.625